The following is a DFT calculation (PBE) of HRhCl2 after structural relaxation.

The structure belongs to space group R-3m (No. 166, hexagonal axes); the cell edges are 3.9653, 3.9653 and 16.9910 Å and the angles 90.00°, 90.00° and 120.00°. Symmetry generates all atoms from H at (0.0000, 0.0000, 0.0000), Rh at (0.0000, 0.0000, 0.5000) and Cl at (0.0000, 0.0000, 0.0922).

For the total energy, the calculation gives -3.5848 eV/atom. The size of the total moment comes out at 2.000 μB per formula unit.